# 1
The following is a DFT calculation (PBE) of a geometry-optimized Pa2Te2F3 structure.

- Size of the total moment: 6.0 Bohr magnetons per cell
- Total energy: -6.65 eV/atom
- E_form (uncorrected): -2.24 eV/atom

The structure in CIF format:
```
data_Pa2Te2F3
_cell_length_a 11.2318
_cell_length_b 3.9660
_cell_length_c 7.6199
_cell_angle_alpha 90.00
_cell_angle_beta 119.00
_cell_angle_gamma 90.00
_space_group_name_H-M_alt 'P 1'
_space_group_IT_number 1
loop_
_space_group_symop_operation_xyz
'x,y,z'
loop_
_atom_site_label
_atom_site_type_symbol
_atom_site_fract_x
_atom_site_fract_y
_atom_site_fract_z
Pa1 Pa 0.1597 0.0000 0.2126
Pa2 Pa 0.3403 0.5000 0.7874
Pa3 Pa 0.6597 0.5000 0.2126
Pa4 Pa 0.8403 0.0000 0.7874
Te1 Te 0.1191 0.0000 0.7705
Te2 Te 0.3809 0.5000 0.2295
Te3 Te 0.6191 0.5000 0.7705
Te4 Te 0.8809 0.0000 0.2295
F1 F 0.0000 0.5000 0.0000
F2 F 0.1713 0.5000 0.4094
F3 F 0.3287 0.0000 0.5906
F4 F 0.5000 0.0000 0.0000
F5 F 0.6713 0.0000 0.4094
F6 F 0.8287 0.5000 0.5906
```

=====

# 2
The following is a DFT calculation (PBE) of a geometry-optimized Cs3Cu2I6 structure.

- Size of the total moment: 0.0 Bohr magnetons per cell
- Total energy: -2.70 eV/atom
- E_form (uncorrected): -0.88 eV/atom

The structure in CIF format:
```
data_Cs3Cu2I6
_cell_length_a 16.3676
_cell_length_b 16.3676
_cell_length_c 16.3676
_cell_angle_alpha 160.70
_cell_angle_beta 160.70
_cell_angle_gamma 27.43
_space_group_name_H-M_alt 'P 1'
_space_group_IT_number 1
loop_
_space_group_symop_operation_xyz
'x,y,z'
loop_
_atom_site_label
_atom_site_type_symbol
_atom_site_fract_x
_atom_site_fract_y
_atom_site_fract_z
Cs1 Cs 0.0000 0.0000 0.0000
Cs2 Cs 0.1798 0.1798 0.0000
Cs3 Cs 0.8202 0.8202 0.0000
Cu1 Cu 0.3904 0.3904 0.0000
Cu2 Cu 0.6096 0.6096 0.0000
I1 I 0.0880 0.5880 0.5000
I2 I 0.3059 0.3059 0.0000
I3 I 0.4120 0.9120 0.5000
I4 I 0.5880 0.0880 0.5000
I5 I 0.6941 0.6941 0.0000
I6 I 0.9120 0.4120 0.5000
```

=====

# 3
The following is a DFT calculation (PBE) of a geometry-optimized KLi2Ta structure.

- Relative energy among the computed polymorphs: 200 meV per atom
- Size of the total moment: 0.0 Bohr magnetons per cell
- Total energy: -3.36 eV/atom

The structure in CIF format:
```
data_KLi2Ta
_cell_length_a 2.7329
_cell_length_b 5.2407
_cell_length_c 6.5404
_cell_angle_alpha 90.00
_cell_angle_beta 90.00
_cell_angle_gamma 90.00
_space_group_name_H-M_alt 'P 1'
_space_group_IT_number 1
loop_
_space_group_symop_operation_xyz
'x,y,z'
loop_
_atom_site_label
_atom_site_type_symbol
_atom_site_fract_x
_atom_site_fract_y
_atom_site_fract_z
K1 K 0.0000 0.0000 0.0000
Li1 Li 0.0000 0.0000 0.5101
Li2 Li 0.5000 0.5000 0.2349
Ta1 Ta 0.5000 0.5000 0.6585
```

=====

Question: What is the total energy in the third record?
Answer: -3.36 eV/atom